No. 1
Entry from OQMD: an optimized crystal structure of LuCuReSn (PBE).

E above lowest polymorph = 0.00 kcal/mol of atoms

Cell: 6.686 6.686 6.686 Å, 90.00 90.00 90.00°
Space group F-43m (No. 216)
Unique sites:
Lu 0.000 0.000 0.000 (multiplicity 4)
Cu 0.000 0.000 0.500 (multiplicity 4)
Re 0.250 0.250 0.750 (multiplicity 4)
Sn 0.250 0.250 0.250 (multiplicity 4)


No. 2
Entry from OQMD: an optimized crystal structure of Zr2Ni3As3 (PBE).

Cell: 12.777 3.754 10.394 Å, 90.00 90.00 90.00°
Space group Pnma (No. 62)
Unique sites:
Zr 0.006 0.250 0.166 (multiplicity 4)
Zr 0.209 0.750 0.573 (multiplicity 4)
Ni 0.014 0.250 0.597 (multiplicity 4)
Ni 0.166 0.750 0.275 (multiplicity 4)
Ni 0.218 0.750 0.861 (multiplicity 4)
As 0.103 0.250 0.400 (multiplicity 4)
As 0.127 0.750 0.052 (multiplicity 4)
As 0.144 0.250 0.762 (multiplicity 4)


No. 3
Entry from OQMD: an optimized crystal structure of Ba2GaCo (PBE).

Cell: 7.580 7.580 7.580 Å, 90.00 90.00 90.00°
Space group F-43m (No. 216)
Unique sites:
Ba 0.000 0.000 0.000 (multiplicity 4)
Ba 0.250 0.250 0.250 (multiplicity 4)
Ga 0.000 0.000 0.500 (multiplicity 4)
Co 0.250 0.250 0.750 (multiplicity 4)


No. 4
Entry from OQMD: an optimized crystal structure of PrNbN2O (PBE).

Cell: 3.991 3.860 4.541 Å, 90.00 90.21 90.00°
Space group Pm (No. 6)
Unique sites:
Pr 0.000 0.000 0.000 (multiplicity 1)
Nb 0.499 0.500 0.456 (multiplicity 1)
N 0.000 0.500 0.353 (multiplicity 1)
N 0.500 0.500 0.867 (multiplicity 1)
O 0.502 0.000 0.319 (multiplicity 1)


No. 5
Entry from OQMD: an optimized crystal structure of LuCdInNi (PBE).

Cell: 6.782 6.782 6.782 Å, 90.00 90.00 90.00°
Space group F-43m (No. 216)
Unique sites:
Lu 0.000 0.000 0.000 (multiplicity 4)
Cd 0.250 0.250 0.750 (multiplicity 4)
In 0.250 0.250 0.250 (multiplicity 4)
Ni 0.000 0.000 0.500 (multiplicity 4)


No. 6
Entry from OQMD: an optimized crystal structure of SrCdCoSe3 (PBE).

E above lowest polymorph = 0.00 kcal/mol of atoms

Cell: 4.084 13.262 10.630 Å, 90.00 90.00 90.00°
Space group Cmcm (No. 63)
Unique sites:
Sr 0.000 0.247 0.250 (multiplicity 4)
Cd 0.000 0.500 0.000 (multiplicity 4)
Co 0.000 0.034 0.750 (multiplicity 4)
Se 0.000 0.140 0.568 (multiplicity 8)
Se 0.000 0.430 0.750 (multiplicity 4)


Uncorrected energy: -0.418, -0.497, -0.227, -0.658, -0.262, -0.303 (Ry/atom)